(1)
Compound: Pr4Y9Tm11
Source: Alexandria
Functional: GGA-PBE
Structure: optimized geometry

```
24
Lattice="8.325 -12.520 0.000 8.325 12.520 0.000 0.000 0.000 3.693" Properties=species:S:1:pos:R:3 pbc="T T T"
Pr 2.562 2.499 0.000
Pr 2.562 -2.499 0.000
Pr 14.088 2.499 0.000
Pr 14.088 -2.499 0.000
Y 0.000 0.000 0.000
Y 6.615 6.607 0.000
Y 6.026 1.839 0.000
Y 10.034 6.607 0.000
Y 6.026 -1.839 0.000
Y 10.624 1.839 0.000
Y 6.615 -6.607 0.000
Y 10.624 -1.839 0.000
Y 10.034 -6.607 0.000
Tm 4.565 4.538 1.846
Tm 8.325 9.101 1.846
Tm 3.590 0.000 1.846
Tm 8.325 3.991 1.846
Tm 4.565 -4.538 1.846
Tm 8.325 0.000 1.846
Tm 12.084 4.538 1.846
Tm 8.325 -3.991 1.846
Tm 13.060 0.000 1.846
Tm 8.325 -9.101 1.846
Tm 12.084 -4.538 1.846
```

Computed properties:
ΔH_f (0 K), eV per formula unit: 1.4
E, eV/cell: -125.1
Crystal system: orthorhombic
SG: Cmmm

(2)
Compound: LiDy2Rh
Source: Alexandria
Functional: GGA-PBE
Structure: optimized geometry

```
4
Lattice="4.854 0.000 0.000 0.000 4.854 0.000 0.000 0.000 3.616" Properties=species:S:1:pos:R:3 pbc="T T T"
Li 0.000 0.000 0.000
Dy 0.000 2.427 1.808
Dy 2.427 0.000 1.808
Rh 2.427 2.427 0.000
```

Computed properties:
ΔH_f (0 K), eV per formula unit: -1.6
E, eV/cell: -20.1
Crystal system: tetragonal
SG: P4/mmm

(3)
Compound: TbTm2S4
Source: Alexandria
Functional: GGA-PBE
Structure: optimized geometry

```
14
Lattice="1.891 -6.372 0.000 1.891 6.372 0.000 0.000 0.000 13.010" Properties=species:S:1:pos:R:3 pbc="T T T"
Tb 1.891 4.765 9.758
Tb 1.891 -4.765 3.253
Tm 1.891 1.655 7.405
Tm 1.891 1.655 12.110
Tm 1.891 -1.655 0.900
Tm 1.891 -1.655 5.605
S 0.000 0.000 0.000
S 0.000 0.000 6.505
S 1.891 2.871 1.571
S 1.891 2.871 4.934
S 1.891 0.409 9.758
S 1.891 -0.409 3.253
S 1.891 -2.871 8.076
S 1.891 -2.871 11.439
```

Computed properties:
Formation energy without anion corrections, eV/atom: -2.050
E, eV/cell: -88.9
Crystal system: orthorhombic
SG: Cmcm
E above lowest polymorph, eV/atom: 0.0235

(4)
Compound: Sm8Si3SBr4
Source: Alexandria
Functional: GGA-PBE
Structure: optimized geometry

```
16
Lattice="4.171 2.408 7.247 -4.171 2.408 7.247 0.000 -4.817 7.247" Properties=species:S:1:pos:R:3 pbc="T T T"
Sm 0.000 0.000 5.140
Sm -2.076 -1.199 12.349
Sm 0.000 -2.397 9.391
Sm -2.076 1.199 9.391
Sm 2.076 -1.199 12.349
Sm 0.000 2.397 12.349
Sm 2.076 1.199 9.391
Sm 0.000 0.000 16.601
Si -4.171 0.000 10.870
Si -2.086 1.204 3.623
Si 2.086 1.204 3.623
S 0.000 0.000 10.870
Br 0.000 0.000 0.000
Br -2.086 -1.204 7.247
Br -2.086 1.204 14.493
Br 0.000 2.408 7.247
```

Computed properties:
Formation energy without anion corrections, eV/atom: -1.210
E, eV/cell: -84.2
Crystal system: trigonal
SG: R-3m

(5)
Compound: Sn2AuC
Source: Alexandria
Functional: GGA-PBE
Structure: optimized geometry

```
8
Lattice="-3.003 3.003 4.919 3.003 -3.003 4.919 3.003 3.003 -4.919" Properties=species:S:1:pos:R:3 pbc="T T T"
Sn 4.505 1.102 -1.230
Sn 1.102 1.502 1.230
Sn -1.502 1.901 3.689
Sn 1.901 1.502 6.149
Au 3.003 0.000 2.459
Au 0.000 0.000 4.919
C 0.000 0.000 0.000
C 0.000 3.003 2.459
```

Computed properties:
ΔH_f (0 K), eV per formula unit: 2.2
E, eV/cell: -36.6
Crystal system: tetragonal
SG: I-42d